(1)
## CaLaSmZn (PBE-GGA)

Data for an optimized crystal structure of CaLaSmZn.

Output
total magnetization = 0.00 μB per atom
crystal system = cubic

```
data_CaLaSmZn
_chemical_formula_sum 'Ca4 La4 Sm4 Zn4'
_symmetry_space_group_name_H-M 'F -4 3 m'
_symmetry_Int_Tables_number 216
_symmetry_space_group_name_Hall 'F -4 2 3'
_cell_length_a 7.8436
_cell_length_b 7.8436
_cell_length_c 7.8436
_cell_angle_alpha 90.00
_cell_angle_beta 90.00
_cell_angle_gamma 90.00
loop_
_atom_site_label
_atom_site_fract_x
_atom_site_fract_y
_atom_site_fract_z
Ca1 0.0000 0.0000 0.0000
La1 0.2500 0.2500 0.7500
Sm1 0.2500 0.2500 0.2500
Zn1 0.0000 0.0000 0.5000
```

---

(2)
## CaLaSmZn (PBE-GGA)

Data for an optimized crystal structure of CaLaSmZn.

Output
total magnetization = 0.00 μB per atom
crystal system = tetragonal

```
data_CaLaSmZn
_chemical_formula_sum 'Ca1 La1 Sm1 Zn1'
_symmetry_space_group_name_H-M 'P 4 m m'
_symmetry_Int_Tables_number 99
_cell_length_a 3.6426
_cell_length_b 3.6426
_cell_length_c 9.4162
_cell_angle_alpha 90.00
_cell_angle_beta 90.00
_cell_angle_gamma 90.00
loop_
_symmetry_equiv_pos_as_xyz
'x,y,z'
'-y,x,z'
'-x,-y,z'
'y,-x,z'
'-x,y,z'
'y,x,z'
'x,-y,z'
'-y,-x,z'
loop_
_atom_site_label
_atom_site_fract_x
_atom_site_fract_y
_atom_site_fract_z
Ca1 0.0000 0.0000 0.0000
La1 0.5000 0.5000 0.3281
Sm1 0.0000 0.0000 0.6084
Zn1 0.5000 0.5000 0.7966
```

---

How far above the most stable structure does each one sit? In meV/atom: (1) 155; (2) 0.

---

(1)
## CaLa3Sn2 (PBE-GGA)

Data for an optimized crystal structure of CaLa3Sn2.

Output
total magnetization = 0.00 μB per atom
crystal system = orthorhombic

```
data_CaLa3Sn2
_chemical_formula_sum 'Ca1 La3 Sn2'
_symmetry_space_group_name_H-M 'P m m 2'
_symmetry_Int_Tables_number 25
_cell_length_a 3.3938
_cell_length_b 5.4851
_cell_length_c 9.4921
_cell_angle_alpha 90.00
_cell_angle_beta 90.00
_cell_angle_gamma 90.00
loop_
_symmetry_equiv_pos_as_xyz
'x,y,z'
'-x,-y,z'
'-x,y,z'
'x,-y,z'
loop_
_atom_site_label
_atom_site_fract_x
_atom_site_fract_y
_atom_site_fract_z
Ca1 0.0000 0.0000 0.0000
La1 0.0000 0.0000 0.3387
La2 0.0000 0.5000 0.4910
La3 0.0000 0.5000 0.8195
Sn1 0.5000 0.0000 0.6643
Sn2 0.5000 0.5000 0.1598
```

---

(2)
## CaLa3Sn2 (PBE-GGA)

Data for an optimized crystal structure of CaLa3Sn2.

Output
total magnetization = 0.46 μB per atom
crystal system = orthorhombic

```
data_CaLa3Sn2
_chemical_formula_sum 'Ca4 La12 Sn8'
_symmetry_space_group_name_H-M 'I b a m'
_symmetry_Int_Tables_number 72
_symmetry_space_group_name_Hall '-I 2 2c'
_cell_length_a 6.8015
_cell_length_b 17.8071
_cell_length_c 6.6922
_cell_angle_alpha 90.00
_cell_angle_beta 90.00
_cell_angle_gamma 90.00
loop_
_atom_site_label
_atom_site_fract_x
_atom_site_fract_y
_atom_site_fract_z
Ca1 0.0000 0.0000 0.2500
La1 0.0000 0.5000 0.2500
La2 0.2484 0.3198 0.0000
Sn1 0.2470 0.1331 0.0000
```

---

How far above the most stable structure does each one sit? In meV/atom: (1) 297; (2) 0.

---

(1)
## SrCa4La (PBE-GGA)

Data for an optimized crystal structure of SrCa4La.

Output
total magnetization = 0.15 μB per atom
crystal system = cubic

```
data_SrCa4La
_chemical_formula_sum 'Sr4 Ca16 La4'
_symmetry_space_group_name_H-M 'F -4 3 m'
_symmetry_Int_Tables_number 216
_symmetry_space_group_name_Hall 'F -4 2 3'
_cell_length_a 10.2673
_cell_length_b 10.2673
_cell_length_c 10.2673
_cell_angle_alpha 90.00
_cell_angle_beta 90.00
_cell_angle_gamma 90.00
loop_
_atom_site_label
_atom_site_fract_x
_atom_site_fract_y
_atom_site_fract_z
Sr1 0.0000 0.0000 0.0000
Ca1 0.1244 0.1244 0.6244
La1 0.2500 0.2500 0.2500
```

---

(2)
## SrCa4La (PBE-GGA)

Data for an optimized crystal structure of SrCa4La.

Output
total magnetization = 0.00 μB per atom
crystal system = tetragonal

```
data_SrCa4La
_chemical_formula_sum 'Sr1 Ca4 La1'
_symmetry_space_group_name_H-M 'P 4/m m m'
_symmetry_Int_Tables_number 123
_symmetry_space_group_name_Hall '-P 4 2'
_cell_length_a 3.9571
_cell_length_b 3.9571
_cell_length_c 16.4583
_cell_angle_alpha 90.00
_cell_angle_beta 90.00
_cell_angle_gamma 90.00
loop_
_atom_site_label
_atom_site_fract_x
_atom_site_fract_y
_atom_site_fract_z
Sr1 0.0000 0.0000 0.0000
Ca1 0.0000 0.0000 0.3438
Ca2 0.5000 0.5000 0.1804
La1 0.5000 0.5000 0.5000
```

---

How far above the most stable structure does each one sit? In meV/atom: (1) 109; (2) 0.